Material: TlPOs2
Method: DFT, PBE
State: relaxed

The structure belongs to space group R-3m (No. 166, hexagonal axes); the cell edges are 2.9682, 2.9682 and 25.3467 Å and the angles 90.00°, 90.00° and 120.00°. Symmetry generates all atoms from Tl at (0.0000, 0.0000, 0.0000), P at (0.0000, 0.0000, 0.5000) and Os at (0.0000, 0.0000, 0.2330).

The energy of formation comes out at 459.2 meV per atom. Its density of states at the Fermi level is 0.861 states/eV per atom. The value obtained for the excess energy over the best structure of this formula in the dataset is 25 kJ/mol of formula units. The value obtained for the magnetic moment is 0.0 μB per formula unit.

---

Material: Nb2S3
Method: DFT, PBE
State: relaxed

The structure belongs to space group C2/c (No. 15); the cell edges are 10.2529, 5.9229 and 6.9875 Å and the angles 90.00°, 119.31° and 90.00°. Symmetry generates all atoms from Nb at (0.0829, 0.2495, 0.4976), S at (0.0000, 0.0929, 0.7500) and S at (0.1711, 0.4215, 0.2502).

Its density of states at the Fermi level is 0.266 states/eV per atom. The value obtained for the magnetic moment is 0.0 μB per formula unit. As for the formation energy from raw total energies: -963.8 meV/atom.

---

Material: TmThAu
Method: DFT, PBE
State: relaxed

The structure belongs to space group F-43m (No. 216); the cell edges are 7.1027, 7.1027 and 7.1027 Å and the angles 90.00°, 90.00° and 90.00°. Symmetry generates all atoms from Tm at (0.0000, 0.0000, 0.0000), Th at (0.0000, 0.0000, 0.5000) and Au at (0.2500, 0.2500, 0.7500).

The energy of formation comes out at -247.9 meV per atom. Its density of states at the Fermi level is 1.584 states/eV per atom. The value obtained for the excess energy over the best structure of this formula in the dataset is 61 kJ/mol of formula units. The value obtained for the magnetic moment is 0.0 μB per formula unit.

---

Material: RbZnAg2Ru
Method: DFT, PBE
State: relaxed

The structure belongs to space group P4/mmm (No. 123); the cell edges are 5.2764, 5.2764 and 4.9492 Å and the angles 90.00°, 90.00° and 90.00°. Symmetry generates all atoms from Rb at (0.0000, 0.0000, 0.0000), Zn at (0.5000, 0.5000, 0.0000), Ag at (0.0000, 0.5000, 0.5000) and Ru at (0.5000, 0.5000, 0.5000).

The energy of formation comes out at 610.5 meV per atom. Its density of states at the Fermi level is 0.868 states/eV per atom. The value obtained for the magnetic moment is 1.4 μB per formula unit.

---

Material: LaEuYEr
Method: DFT, PBE
State: relaxed

The structure belongs to space group F-43m (No. 216); the cell edges are 8.2515, 8.2515 and 8.2515 Å and the angles 90.00°, 90.00° and 90.00°. Symmetry generates all atoms from La at (0.0000, 0.0000, 0.0000), Eu at (0.2500, 0.2500, 0.2500), Y at (0.0000, 0.0000, 0.5000) and Er at (0.2500, 0.2500, 0.7500).

The energy of formation comes out at 138.8 meV per atom. Its density of states at the Fermi level is 1.584 states/eV per atom. The value obtained for the magnetic moment is 7.9 μB per formula unit.

---

Material: Sc6Cd2CN
Method: DFT, PBE
State: relaxed

The structure belongs to space group Fm-3m (No. 225); the cell edges are 9.0493, 9.0493 and 9.0493 Å and the angles 90.00°, 90.00° and 90.00°. Symmetry generates all atoms from Sc at (0.0000, 0.0000, 0.2504), Cd at (0.2500, 0.2500, 0.2500), C at (0.0000, 0.0000, 0.0000) and N at (0.0000, 0.0000, 0.5000).

Its density of states at the Fermi level is 1.586 states/eV per atom. The value obtained for the magnetic moment is 0.0 μB per formula unit. As for the formation energy from raw total energies: -726.8 meV/atom.

---

Material: FeTc2IrN
Method: DFT, PBE
State: relaxed

The structure belongs to space group P4/mmm (No. 123); the cell edges are 4.0002, 4.0002 and 3.8528 Å and the angles 90.00°, 90.00° and 90.00°. Symmetry generates all atoms from Fe at (0.0000, 0.0000, 0.0000), Tc at (0.0000, 0.5000, 0.5000), Ir at (0.5000, 0.5000, 0.0000) and N at (0.0000, 0.0000, 0.5000).

Its density of states at the Fermi level is 0.914 states/eV per atom. The value obtained for the magnetic moment is 0.9 μB per formula unit. As for the formation energy from raw total energies: 46.2 meV/atom.

---

Material: Zr3BiH
Method: DFT, PBE
State: relaxed

The structure belongs to space group P2_1/c (No. 14); the cell edges are 8.2273, 6.7083 and 7.9360 Å and the angles 90.00°, 110.81° and 90.00°. Symmetry generates all atoms from Zr at (0.0380, 0.1678, 0.3212), Zr at (0.1973, 0.0101, 0.0675), Zr at (0.3677, 0.0916, 0.7655), Bi at (0.3427, 0.6709, 0.9263) and H at (0.1259, 0.2004, 0.6154).

Its density of states at the Fermi level is 0.835 states/eV per atom. The value obtained for the excess energy over the best structure of this formula in the dataset is 109 kJ/mol of formula units. The value obtained for the magnetic moment is 0.0 μB per formula unit.

---

Material: Mg2FeHg
Method: DFT, PBE
State: relaxed

The structure belongs to space group I-4m2 (No. 119); the cell edges are 4.0502, 4.0502 and 8.7081 Å and the angles 90.00°, 90.00° and 90.00°. Symmetry generates all atoms from Mg at (0.0000, 0.0000, 0.0000), Mg at (0.0000, 0.5000, 0.2500), Fe at (0.0000, 0.5000, 0.7500) and Hg at (0.0000, 0.0000, 0.5000).

The energy of formation comes out at 149.5 meV per atom. Its density of states at the Fermi level is 1.260 states/eV per atom. The value obtained for the magnetic moment is 2.1 μB per formula unit.

---

Material: ZrAg
Method: DFT, PBE
State: relaxed

The structure belongs to space group R-3m (No. 166, hexagonal axes); the cell edges are 4.5994, 4.5994 and 14.6243 Å and the angles 90.00°, 90.00° and 120.00°. Symmetry generates all atoms from Zr at (0.0000, 0.0000, 0.0984) and Ag at (0.0000, 0.0000, 0.3105).

The energy of formation comes out at 285.6 meV per atom. Its density of states at the Fermi level is 0.581 states/eV per atom. The value obtained for the magnetic moment is 0.0 μB per formula unit.

---

Material: RbGd3Ru
Method: DFT, PBE
State: relaxed

The structure belongs to space group Pm-3m (No. 221); the cell edges are 5.5845, 5.5845 and 5.5845 Å and the angles 90.00°, 90.00° and 90.00°. Symmetry generates all atoms from Rb at (0.0000, 0.0000, 0.0000), Gd at (0.0000, 0.5000, 0.5000) and Ru at (0.5000, 0.5000, 0.5000).

The energy of formation comes out at 73.1 meV per atom. Its density of states at the Fermi level is 1.427 states/eV per atom. The value obtained for the magnetic moment is 21.5 μB per formula unit.

---

Material: CdSn2As
Method: DFT, PBE
State: relaxed

The structure belongs to space group Pm (No. 6); the cell edges are 3.0089, 3.9469 and 8.8701 Å and the angles 90.00°, 99.15° and 90.00°. Symmetry generates all atoms from Cd at (0.0000, 0.0000, 0.0000), Sn at (0.1425, 0.5000, 0.7356), Sn at (0.8688, 0.5000, 0.2651) and As at (0.0086, 0.0000, 0.5003).

The energy of formation comes out at 63.8 meV per atom. Its density of states at the Fermi level is 0.417 states/eV per atom. The value obtained for the excess energy over the best structure of this formula in the dataset is 19 kJ/mol of formula units. The value obtained for the magnetic moment is 0.0 μB per formula unit.

---

In order of appearance, calculated total energy = -7.10; -7.47; -5.30; -2.83; -6.42; -6.46; -9.23; -6.69; -2.84; -5.41; -10.42; -3.33 eV/atom.